DFT (PBE) results for crystalline Sm3YTh2P6 at its relaxed geometry.

Values from the calculation:
The value obtained for the formation energy is -1597.3 meV per atom. As for the spin magnetization: 0.00 μB/f.u.

The structure in CIF format:
```
data_Sm3YTh2P6
_space_group_name_H-M_alt 'C 1 2/m 1'
_space_group_IT_number 12
_cell_length_a 7.112
_cell_length_b 12.331
_cell_length_c 7.107
_cell_angle_alpha 90.00
_cell_angle_beta 109.47
_cell_angle_gamma 90.00
loop_
_space_group_symop_operation_xyz
'x,y,z'
'-x,-y,-z'
'-x,y,-z'
'x,-y,z'
'x+1/2,y+1/2,z'
'-x+1/2,-y+1/2,-z'
'-x+1/2,y+1/2,-z'
'x+1/2,-y+1/2,z'
loop_
_atom_site_label
_atom_site_type_symbol
_atom_site_fract_x
_atom_site_fract_y
_atom_site_fract_z
Sm1 Sm 0.000 0.000 0.000
Sm2 Sm 0.000 0.333 0.000
Y1 Y 0.000 0.500 0.500
Th1 Th 0.000 0.167 0.500
P1 P 0.248 0.334 0.747
P2 P 0.248 0.500 0.252
```